CsPmMo2O8 | PBE with a Hubbard U | optimized geometry Values from VASP.

The structure in Quantum ESPRESSO input format:
```
&SYSTEM
  ibrav = 0, nat = 12, ntyp = 4
/
ATOMIC_SPECIES
Cs 132.91 Cs.upf
Pm 145.00 Pm.upf
Mo 95.94 Mo.upf
O 16.00 O.upf
CELL_PARAMETERS angstrom
6.168 0.000 0.000
-3.084 5.341 0.000
0.000 0.000 8.476
ATOMIC_POSITIONS angstrom
Cs 0.000 0.000 0.000
Pm 0.000 0.000 4.238
Mo 0.000 3.561 6.252
Mo 3.084 1.780 2.224
O -0.020 1.845 5.673
O -1.476 4.436 5.673
O 0.000 3.561 8.005
O 1.588 0.940 2.803
O 1.496 4.402 5.673
O 3.084 1.780 0.472
O 4.560 0.905 2.803
O 3.104 3.497 2.803
```

Calculated values
**Magnetization**: 0.0 Bohr magnetons per cell
**Calculated total energy**: -85.53 eV per formula unit